1.
! GGA-PBE CoRu3, relaxed; values from VASP
&SYSTEM
  ibrav = 0, nat = 4, ntyp = 2
/
ATOMIC_SPECIES
Ru 101.07 Ru.upf
Co 58.93 Co.upf
CELL_PARAMETERS angstrom
-0.800 2.436 -0.769
-2.484 -0.553 0.829
1.639 2.646 6.675
ATOMIC_POSITIONS crystal
Ru 0.500 0.500 0.761
Ru 0.000 0.000 0.500
Ru 0.500 0.500 0.239
Co 0.000 0.000 0.000
! N(E_F)	5.69	states/eV per cell
! VASP energy	-0.3150	Ha/atom
! DFT formation energy	161.3	meV per atom
! crystal system	tetragonal

=====

2.
! GGA-PBE CoRu5, relaxed; values from VASP
&SYSTEM
  ibrav = 0, nat = 6, ntyp = 2
/
ATOMIC_SPECIES
Ru 101.07 Ru.upf
Co 58.93 Co.upf
CELL_PARAMETERS angstrom
-4.399 -5.519 0.787
5.120 4.627 1.675
-2.898 2.564 1.778
ATOMIC_POSITIONS crystal
Ru 0.552 0.448 0.500
Ru 0.221 0.779 0.500
Ru 0.666 0.334 0.000
Ru 0.891 0.109 0.500
Ru 0.335 0.665 0.000
Co 0.002 0.998 0.000
! N(E_F)	5.81	states/eV per cell
! VASP energy	-0.3252	Ha/atom
! DFT formation energy	64.1	meV per atom
! crystal system	orthorhombic

=====

3.
! GGA-PBE Co5Ru4, relaxed; values from VASP
&SYSTEM
  ibrav = 0, nat = 9, ntyp = 2
/
ATOMIC_SPECIES
Ru 101.07 Ru.upf
Co 58.93 Co.upf
CELL_PARAMETERS angstrom
-3.848 3.848 1.838
3.848 -3.848 1.838
3.848 3.848 -1.838
ATOMIC_POSITIONS crystal
Ru 0.672 0.000 0.672
Ru 0.000 0.328 0.328
Ru 0.000 0.672 0.672
Ru 0.328 0.000 0.328
Co 0.666 0.334 0.000
Co 0.000 0.000 0.000
Co 0.666 0.666 0.332
Co 0.334 0.334 0.668
Co 0.334 0.666 0.000
! N(E_F)	10.93	states/eV per cell
! VASP energy	-0.2904	Ha/atom
! DFT formation energy	167.4	meV per atom
! crystal system	tetragonal

=====

4.
! GGA-PBE CoRuS2, relaxed; values from VASP
&SYSTEM
  ibrav = 0, nat = 4, ntyp = 3
/
ATOMIC_SPECIES
Co 58.93 Co.upf
S 32.06 S.upf
Ru 101.07 Ru.upf
CELL_PARAMETERS angstrom
3.717 0.000 -0.026
0.000 3.717 0.000
0.034 0.000 5.484
ATOMIC_POSITIONS crystal
Co 0.625 0.000 0.625
S 0.125 0.000 0.859
S 0.625 0.500 0.391
Ru 0.125 0.500 0.625
! N(E_F)	1.28	states/eV per cell
! VASP energy	-0.2408	Ha/atom
! excess energy over the best structure of this formula in the dataset	0.000	eV per atom
! crystal system	tetragonal

=====

5.
! GGA-PBE CoRuS, relaxed; values from VASP
&SYSTEM
  ibrav = 0, nat = 6, ntyp = 3
/
ATOMIC_SPECIES
Ru 101.07 Ru.upf
Co 58.93 Co.upf
S 32.06 S.upf
CELL_PARAMETERS angstrom
3.734 0.001 0.134
1.866 3.234 0.134
1.633 0.943 6.494
ATOMIC_POSITIONS crystal
Ru 0.993 0.993 0.303
Ru 0.760 0.760 0.004
Co 0.578 0.578 0.549
Co 0.175 0.175 0.759
S 0.287 0.287 0.420
S 0.466 0.466 0.887
! N(E_F)	3.95	states/eV per cell
! VASP energy	-0.2534	Ha/atom
! crystal system	trigonal

=====

6.
! GGA-PBE CoRuS2, relaxed; values from VASP
&SYSTEM
  ibrav = 0, nat = 4, ntyp = 3
/
ATOMIC_SPECIES
Co 58.93 Co.upf
S 32.06 S.upf
Ru 101.07 Ru.upf
CELL_PARAMETERS angstrom
-0.030 -4.039 1.067
-1.530 -1.170 3.707
-3.618 -2.080 0.204
ATOMIC_POSITIONS crystal
Co 0.000 0.000 0.000
S 0.250 0.250 0.250
S 0.750 0.750 0.750
Ru 0.500 0.500 0.500
! N(E_F)	3.11	states/eV per cell
! VASP energy	-0.2201	Ha/atom
! excess energy over the best structure of this formula in the dataset	0.564	eV per atom
! crystal system	cubic

=====

7.
! GGA-PBE CoRuS3, relaxed; values from VASP
&SYSTEM
  ibrav = 0, nat = 5, ntyp = 3
/
ATOMIC_SPECIES
S 32.06 S.upf
Ru 101.07 Ru.upf
Co 58.93 Co.upf
CELL_PARAMETERS angstrom
-0.060 4.048 -1.439
-2.592 -1.182 -3.216
-3.426 0.824 2.459
ATOMIC_POSITIONS crystal
S 0.000 0.500 0.000
S 0.500 0.000 0.000
S 0.000 0.000 0.500
Ru 0.500 0.500 0.500
Co 0.000 0.000 0.000
! N(E_F)	5.20	states/eV per cell
! VASP energy	-0.1815	Ha/atom
! excess energy over the best structure of this formula in the dataset	0.000	eV per atom
! crystal system	cubic

=====

8.
! GGA-PBE CoRuS2, relaxed; values from VASP
&SYSTEM
  ibrav = 0, nat = 8, ntyp = 3
/
ATOMIC_SPECIES
S 32.06 S.upf
Co 58.93 Co.upf
Ru 101.07 Ru.upf
CELL_PARAMETERS angstrom
5.066 0.000 0.000
0.000 5.066 0.000
2.533 2.533 5.127
ATOMIC_POSITIONS crystal
S 0.375 0.393 0.750
S 0.143 0.625 0.250
S 0.875 0.857 0.750
S 0.607 0.125 0.250
Co 0.500 0.500 0.000
Co 0.250 0.750 0.500
Ru 0.000 0.000 0.000
Ru 0.750 0.250 0.500
! N(E_F)	8.05	states/eV per cell
! VASP energy	-0.2352	Ha/atom
! excess energy over the best structure of this formula in the dataset	0.154	eV per atom
! crystal system	tetragonal

=====

9.
! GGA-PBE CoRuS2, relaxed; values from VASP
&SYSTEM
  ibrav = 0, nat = 4, ntyp = 3
/
ATOMIC_SPECIES
S 32.06 S.upf
Co 58.93 Co.upf
Ru 101.07 Ru.upf
CELL_PARAMETERS angstrom
1.777 0.000 7.135
-0.888 1.539 7.135
-0.888 -1.539 7.135
ATOMIC_POSITIONS crystal
S 0.895 0.895 0.895
S 0.105 0.105 0.105
Co 0.500 0.500 0.500
Ru 0.000 0.000 0.000
! N(E_F)	3.62	states/eV per cell
! VASP energy	-0.2281	Ha/atom
! excess energy over the best structure of this formula in the dataset	0.348	eV per atom
! crystal system	trigonal

=====

10.
! GGA-PBE Co2RuS, relaxed; values from VASP
&SYSTEM
  ibrav = 0, nat = 8, ntyp = 3
/
ATOMIC_SPECIES
Ru 101.07 Ru.upf
Co 58.93 Co.upf
S 32.06 S.upf
CELL_PARAMETERS angstrom
5.122 0.000 0.000
0.000 5.122 0.000
2.561 2.561 4.974
ATOMIC_POSITIONS crystal
Ru 0.000 0.000 0.000
Ru 0.750 0.250 0.500
Co 0.602 0.125 0.250
Co 0.148 0.625 0.250
Co 0.875 0.852 0.750
Co 0.375 0.398 0.750
S 0.250 0.750 0.500
S 0.500 0.500 0.000
! N(E_F)	10.20	states/eV per cell
! VASP energy	-0.2333	Ha/atom
! crystal system	tetragonal

=====

11.
! GGA-PBE Co8RuS8, relaxed; values from VASP
&SYSTEM
  ibrav = 0, nat = 17, ntyp = 3
/
ATOMIC_SPECIES
Co 58.93 Co.upf
S 32.06 S.upf
Ru 101.07 Ru.upf
CELL_PARAMETERS angstrom
0.000 4.931 4.931
4.931 0.000 4.931
4.931 4.931 0.000
ATOMIC_POSITIONS crystal
Co 0.126 0.622 0.126
Co 0.126 0.126 0.622
Co 0.378 0.874 0.874
Co 0.874 0.874 0.378
Co 0.874 0.378 0.874
Co 0.874 0.874 0.874
Co 0.126 0.126 0.126
Co 0.622 0.126 0.126
S 0.259 0.741 0.259
S 0.259 0.259 0.741
S 0.741 0.259 0.259
S 0.741 0.259 0.741
S 0.250 0.250 0.250
S 0.259 0.741 0.741
S 0.741 0.741 0.259
S 0.750 0.750 0.750
Ru 0.500 0.500 0.500
! N(E_F)	9.54	states/eV per cell
! VASP energy	-0.2325	Ha/atom
! crystal system	cubic

=====

12.
! GGA-PBE Co2SbRuS, relaxed; values from VASP
&SYSTEM
  ibrav = 0, nat = 5, ntyp = 4
/
ATOMIC_SPECIES
Co 58.93 Co.upf
S 32.06 S.upf
Ru 101.07 Ru.upf
Sb 121.76 Sb.upf
CELL_PARAMETERS angstrom
-0.340 4.579 0.442
-4.851 -0.215 -1.509
-1.340 -0.522 4.383
ATOMIC_POSITIONS crystal
Co 0.000 0.000 0.500
Co 0.500 0.000 0.000
S 0.000 0.500 0.000
Ru 0.500 0.500 0.500
Sb 0.000 0.000 0.000
! N(E_F)	7.21	states/eV per cell
! VASP energy	-0.1727	Ha/atom
! crystal system	tetragonal